A plane-wave DFT calculation with PBE was carried out for ZrCd after structural relaxation. Values from VASP.

Structure (Quantum ESPRESSO input):
```
&SYSTEM
  ibrav = 0, nat = 8, ntyp = 2
/
ATOMIC_SPECIES
Zr 91.22 Zr.upf
Cd 112.41 Cd.upf
CELL_PARAMETERS angstrom
5.596 0.000 0.000
0.000 5.073 0.000
0.000 0.000 6.047
ATOMIC_POSITIONS crystal
Zr 0.127 0.250 0.134
Zr 0.373 0.750 0.634
Zr 0.627 0.250 0.366
Zr 0.873 0.750 0.866
Cd 0.095 0.250 0.632
Cd 0.405 0.750 0.132
Cd 0.595 0.250 0.868
Cd 0.905 0.750 0.368
```

Summary:
Magnetic moment (μB/cell): 0.00
Space-group type: Pnma (62)
DFT formation energy (eV/atom): -0.03